# CuTe2As

A geometry-optimized CuTe2As structure (GGA-PBE, Alexandria via LeMat-Bulk).

Calculated values
For the formation energy (no corrections), the calculation gives 0.257 eV/atom. The space group is No. 99.

a = 3.300 Å, b = 3.300 Å, c = 9.154 Å
α = 90.00°, β = 90.00°, γ = 90.00°
Positions (direct):
As1 0.000 0.000 0.608
Cu1 0.500 0.500 0.709
Te1 0.000 0.000 0.911
Te2 0.500 0.500 0.272